The following is a DFT calculation (GGA-PBE) of an optimized crystal structure of Ti2BeGe2.

Values from the calculation:
As for the space-group type: Cmc2_1, No. 36. For the formation energy, the calculation gives -0.37 eV/atom. As for the distance to the lowest polymorph of the same formula: 0 kJ/mol of formula units.

Lattice parameters (Å, degrees): 7.1513 7.1513 5.6776 90.00 90.00 147.93
Positions (direct):
Ti: 0.0030 0.9970 0.5000
Ti: 0.1931 0.8069 0.7702
Ti: 0.8069 0.1931 0.2702
Ti: 0.9970 0.0030 0.0000
Be: 0.3909 0.6091 0.6514
Be: 0.6091 0.3909 0.1514
Ge: 0.1734 0.8266 0.2744
Ge: 0.4305 0.5695 0.2475
Ge: 0.5695 0.4305 0.7475
Ge: 0.8266 0.1734 0.7744